[1]
# SrLa2Ir

A geometry-optimized SrLa2Ir structure (GGA-PBE, the Alexandria database).

Cell: 3.9296 6.1079 11.2199 Å, 90.00 90.00 90.00°
Closest atoms and distances in Å follow each position.
Space group Immm (No. 71)
Inequivalent atoms, fractional coordinates:
Sr 0.0000 0.0000 0.0000 x2  4 Ir 3.63, 4 La 3.66, 2 Sr 3.93
La 0.0000 0.5000 0.1790 x4  2 Ir 2.81
Ir 0.0000 0.0000 0.5000 x2  4 La 2.81

Offset from the most stable computed form, meV per atom: 131
Calculated volume, Å³ per atom: 33.66
Calculated formation energy, eV/atom: -0.33

***

[2]
# CrMo3N

A geometry-optimized CrMo3N structure (GGA-PBE, the Alexandria database).

Cell: 4.0823 4.0823 4.0823 Å, 90.00 90.00 90.00°
Closest atoms and distances in Å follow each position.
Space group Pm-3m (No. 221)
Inequivalent atoms, fractional coordinates:
Cr 0.0000 0.0000 0.0000 x1  12 Mo 2.89
Mo 0.0000 0.5000 0.5000 x3  2 N 2.04
N 0.5000 0.5000 0.5000 x1  6 Mo 2.04

Offset from the most stable computed form, meV per atom: 0
Calculated volume, Å³ per atom: 13.61
Formation energy without anion corrections, meV per atom: 77

***

[3]
# AcTb2NdHo

A geometry-optimized AcTb2NdHo structure (GGA-PBE, the Alexandria database).

Cell: 8.5246 11.9389 7.3406 Å, 90.00 90.00 90.00°
Closest atoms and distances in Å follow each position.
Space group Cmcm (No. 63)
Inequivalent atoms, fractional coordinates:
Ac 0.0000 0.2419 0.2500 x4  1 Nd 3.35, 2 Ho 3.70
Tb 0.1877 0.0000 0.0000 x8  1 Tb 3.20, 2 Nd 3.24, 2 Ho 3.46
Nd 0.0000 0.4777 0.7500 x4  4 Tb 3.24, 1 Ho 3.25, 1 Ac 3.35
Ho 0.0000 0.2056 0.7500 x4  1 Nd 3.25, 4 Tb 3.46

Calculated volume, Å³ per atom: 37.35
Calculated formation energy, eV/atom: 0.35

***

[4]
# LiHoPuZn

A geometry-optimized LiHoPuZn structure (GGA-PBE, the Alexandria database).

Cell: 7.1874 7.1874 7.1874 Å, 90.00 90.00 90.00°
Closest atoms and distances in Å follow each position.
Space group F-43m (No. 216)
Inequivalent atoms, fractional coordinates:
Li 0.0000 0.0000 0.0000 x4  4 Ho 3.11, 4 Pu 3.11
Ho 0.2500 0.2500 0.7500 x4  4 Zn 3.11, 4 Li 3.11
Pu 0.2500 0.2500 0.2500 x4  4 Li 3.11, 4 Zn 3.11
Zn 0.0000 0.0000 0.5000 x4  4 Pu 3.11, 4 Ho 3.11

Calculated volume, Å³ per atom: 23.21
Calculated formation energy, eV/atom: 0.07

***

[5]
# U3AsS6

A geometry-optimized U3AsS6 structure (GGA-PBE, the Alexandria database).

Cell: 10.5911 12.8892 6.6940 Å, 90.00 90.00 90.00°
Closest atoms and distances in Å follow each position.
Space group Cmc2_1 (No. 36)
Inequivalent atoms, fractional coordinates:
U 0.0000 0.0994 0.0000 x4  7 S 2.69-2.82
U 0.1821 0.3973 0.8794 x8  7 S 2.69-2.91
As 0.0000 0.3544 0.4577 x4  2 S 2.30-2.41
S 0.0000 0.2638 0.7533 x4  1 As 2.30
S 0.0000 0.4856 0.1433 x4  1 As 2.41
S 0.1618 0.0362 0.6890 x8  4 U 2.75-2.82
S 0.1732 0.2304 0.1576 x8  3 U 2.69-2.85

Calculated volume, Å³ per atom: 22.85
Formation energy without anion corrections, meV per atom: -1059

***

[6]
# CaMo2Cl

A geometry-optimized CaMo2Cl structure (GGA-PBE, the Alexandria database).

Cell: 6.6057 6.6057 6.6057 Å, 90.00 90.00 90.00°
Closest atoms and distances in Å follow each position.
Space group Fm-3m (No. 225)
Inequivalent atoms, fractional coordinates:
Ca 0.0000 0.0000 0.0000 x4  8 Mo 2.86
Mo 0.2500 0.2500 0.2500 x8  4 Cl 2.86, 4 Ca 2.86
Cl 0.0000 0.0000 0.5000 x4  8 Mo 2.86

Offset from the most stable computed form, meV per atom: 1722
Calculated volume, Å³ per atom: 18.02
Formation energy without anion corrections, meV per atom: 1579

***

[7]
# CoTeW2

A geometry-optimized CoTeW2 structure (GGA-PBE, the Alexandria database).

Cell: 3.8278 3.8278 8.7513 Å, 90.00 90.00 90.00°
Closest atoms and distances in Å follow each position.
Space group I4/mmm (No. 139)
Inequivalent atoms, fractional coordinates:
Co 0.0000 0.0000 0.0000 x2  4 Te 2.71, 8 W 2.91
Te 0.0000 0.0000 0.5000 x2  4 Co 2.71, 8 W 2.91
W 0.0000 0.5000 0.2500 x4  4 W 2.71, 4 Co 2.91, 4 Te 2.91

Calculated volume, Å³ per atom: 16.03
Formation energy without anion corrections, meV per atom: 702

***

[8]
# AlTcGe

A geometry-optimized AlTcGe structure (GGA-PBE, the Alexandria database).

Cell: 12.6323 3.0019 5.1996 Å, 90.00 90.00 90.00°
Closest atoms and distances in Å follow each position.
Space group Amm2 (No. 38)
Inequivalent atoms, fractional coordinates:
Al 0.2010 0.0000 0.0000 x4  1 Ge 2.54, 3 Tc 2.58
Tc 0.3520 0.0000 0.3333 x4  3 Ge 2.55, 3 Al 2.58
Ge 0.0000 0.0000 0.0037 x2  2 Al 2.54
Ge 0.5000 0.0000 0.6666 x2  6 Tc 2.55

Offset from the most stable computed form, meV per atom: 318
Calculated volume, Å³ per atom: 16.43
Calculated formation energy, eV/atom: -0.12

***

Number 1: calculated total energy -5.43 eV/atom. Number 2: calculated total energy -10.01 eV/atom. Number 3: calculated total energy -4.19 eV/atom. Number 4: calculated total energy -5.46 eV/atom. Number 5: calculated total energy -7.39 eV/atom. Number 6: calculated total energy -4.80 eV/atom. Number 7: calculated total energy -8.34 eV/atom. Number 8: calculated total energy -6.36 eV/atom.